(1)
First-principles (PBE-GGA) data for a geometry-optimized YScCl2 structure, as listed in Alexandria via LeMat-Bulk.

Its total magnetic moment is 0.0 Bohr magnetons per cell. Its energy above the most stable polymorph in this dataset is 2.32 eV per formula unit. The calculation puts the total energy at -4.980 eV/atom. The value obtained for the raw formation energy is -0.8575 eV/atom.

It has space group I-42d (No. 122), with a = 5.8857 Å, b = 5.8857 Å, c = 12.6384 Å, α = 90.00°, β = 90.00° and γ = 90.00°. The inequivalent atoms are Y at (0.0000, 0.0000, 0.0000), Sc at (0.0000, 0.0000, 0.5000) and Cl at (0.2146, 0.2500, 0.6250).

=====

(2)
First-principles (PBE-GGA) data for a geometry-optimized Y2ScCl structure, as listed in Alexandria via LeMat-Bulk.

Its total magnetic moment is 0.0 Bohr magnetons per cell. Its energy above the most stable polymorph in this dataset is 0.17 eV per formula unit. The calculation puts the total energy at -5.864 eV/atom. The value obtained for the raw formation energy is -0.5871 eV/atom.

It has space group Pmmm (No. 47), with a = 3.4975 Å, b = 3.5534 Å, c = 9.1206 Å, α = 90.00°, β = 90.00° and γ = 90.00°. The inequivalent atoms are Y at (0.0000, 0.0000, 0.2492), Sc at (0.5000, 0.5000, 0.0000) and Cl at (0.5000, 0.0000, 0.5000).

=====

(3)
First-principles (PBE-GGA) data for a geometry-optimized YSc2Cl structure, as listed in Alexandria via LeMat-Bulk.

Its total magnetic moment is 2.4 Bohr magnetons per cell. Its energy above the most stable polymorph in this dataset is 0.61 eV per formula unit. The calculation puts the total energy at -5.694 eV/atom. The value obtained for the raw formation energy is -0.4508 eV/atom.

It has space group Cmmm (No. 65), with a = 3.5466 Å, b = 5.7814 Å, c = 9.6149 Å, α = 90.00°, β = 90.00° and γ = 90.00°. The inequivalent atoms are Y at (0.0000, 0.0000, 0.0000), Sc at (0.0000, 0.5000, 0.2807) and Cl at (0.0000, 0.0000, 0.5000).

=====

(4)
First-principles (PBE-GGA) data for a geometry-optimized YSc2Cl structure, as listed in Alexandria via LeMat-Bulk.

Its total magnetic moment is 0.0 Bohr magnetons per cell. Its energy above the most stable polymorph in this dataset is 0.76 eV per formula unit. The calculation puts the total energy at -5.657 eV/atom. The value obtained for the raw formation energy is -0.4132 eV/atom.

It has space group P4/mmm (No. 123), with a = 3.3125 Å, b = 3.3125 Å, c = 8.9649 Å, α = 90.00°, β = 90.00° and γ = 90.00°. The inequivalent atoms are Y at (0.0000, 0.0000, 0.0000), Sc at (0.5000, 0.5000, 0.2697) and Cl at (0.0000, 0.0000, 0.5000).

=====

(5)
First-principles (PBE-GGA) data for a geometry-optimized YScCl2 structure, as listed in Alexandria via LeMat-Bulk.

Its total magnetic moment is 0.0 Bohr magnetons per cell. Its energy above the most stable polymorph in this dataset is 1.35 eV per formula unit. The calculation puts the total energy at -5.222 eV/atom. The value obtained for the raw formation energy is -1.0993 eV/atom.

It has space group P2/m (No. 10), with a = 3.5583 Å, b = 4.4894 Å, c = 5.8582 Å, α = 90.00°, β = 94.43° and γ = 90.00°. The inequivalent atoms are Y at (0.0000, 0.0000, 0.0000), Sc at (0.5000, 0.0000, 0.5000) and Cl at (0.2762, 0.5000, 0.2548).

=====

(6)
First-principles (PBE-GGA) data for a geometry-optimized Y2ScCl structure, as listed in Alexandria via LeMat-Bulk.

Its total magnetic moment is 0.0 Bohr magnetons per cell. Its energy above the most stable polymorph in this dataset is 1.35 eV per formula unit. The calculation puts the total energy at -5.569 eV/atom. The value obtained for the raw formation energy is -0.2929 eV/atom.

It has space group C2/m (No. 12), with a = 7.9332 Å, b = 8.0269 Å, c = 3.3786 Å, α = 90.00°, β = 90.20° and γ = 90.00°. The inequivalent atoms are Y at (0.2500, 0.2500, 0.0000), Sc at (0.0000, 0.0000, 0.5000) and Cl at (0.0000, 0.5000, 0.5000).

=====

(7)
First-principles (PBE-GGA) data for a geometry-optimized YScCl2 structure, as listed in Alexandria via LeMat-Bulk.

Its total magnetic moment is 0.0 Bohr magnetons per cell. Its energy above the most stable polymorph in this dataset is 1.37 eV per formula unit. The calculation puts the total energy at -5.219 eV/atom. The value obtained for the raw formation energy is -1.0963 eV/atom.

It has space group C2/m (No. 12), with a = 6.6051 Å, b = 9.0148 Å, c = 3.5668 Å, α = 90.00°, β = 117.91° and γ = 90.00°. The inequivalent atoms are Y at (0.0000, 0.0000, 0.0000), Sc at (0.0000, 0.5000, 0.0000) and Cl at (0.2500, 0.2500, 0.0000).

=====

(8)
First-principles (PBE-GGA) data for a geometry-optimized YScCl2 structure, as listed in Alexandria via LeMat-Bulk.

Its total magnetic moment is 15.5 Bohr magnetons per cell. Its energy above the most stable polymorph in this dataset is 4.37 eV per formula unit. The calculation puts the total energy at -4.466 eV/atom. The value obtained for the raw formation energy is -0.3441 eV/atom.

It has space group F-43m (No. 216), with a = 7.4330 Å, b = 7.4330 Å, c = 7.4330 Å, α = 90.00°, β = 90.00° and γ = 90.00°. The inequivalent atoms are Y at (0.0000, 0.0000, 0.0000), Sc at (0.2500, 0.2500, 0.2500), Cl at (0.0000, 0.0000, 0.5000) and Cl at (0.2500, 0.2500, 0.7500).

=====

(9)
First-principles (PBE-GGA) data for a geometry-optimized Y2ScCl structure, as listed in Alexandria via LeMat-Bulk.

Its total magnetic moment is 1.5 Bohr magnetons per cell. Its energy above the most stable polymorph in this dataset is 0.58 eV per formula unit. The calculation puts the total energy at -5.762 eV/atom. The value obtained for the raw formation energy is -0.4856 eV/atom.

It has space group Cmm2 (No. 35), with a = 3.6570 Å, b = 5.8934 Å, c = 9.9311 Å, α = 90.00°, β = 90.00° and γ = 90.00°. The inequivalent atoms are Y at (0.0000, 0.0000, 0.0000), Y at (0.0000, 0.5000, 0.2903), Sc at (0.0000, 0.5000, 0.7333) and Cl at (0.0000, 0.0000, 0.5249).

=====

(10)
First-principles (PBE-GGA) data for a geometry-optimized Y2ScCl structure, as listed in Alexandria via LeMat-Bulk.

Its total magnetic moment is 1.4 Bohr magnetons per cell. Its energy above the most stable polymorph in this dataset is 2.34 eV per formula unit. The calculation puts the total energy at -5.323 eV/atom. The value obtained for the raw formation energy is -0.0467 eV/atom.

It has space group I-4m2 (No. 119), with a = 4.4145 Å, b = 4.4145 Å, c = 11.3143 Å, α = 90.00°, β = 90.00° and γ = 90.00°. The inequivalent atoms are Y at (0.0000, 0.0000, 0.0000), Y at (0.0000, 0.5000, 0.2500), Sc at (0.0000, 0.0000, 0.5000) and Cl at (0.0000, 0.5000, 0.7500).

=====

(11)
First-principles (PBE-GGA) data for a geometry-optimized YSc2Cl structure, as listed in Alexandria via LeMat-Bulk.

Its total magnetic moment is 0.0 Bohr magnetons per cell. Its energy above the most stable polymorph in this dataset is 0.90 eV per formula unit. The calculation puts the total energy at -5.623 eV/atom. The value obtained for the raw formation energy is -0.3798 eV/atom.

It has space group I-42d (No. 122), with a = 8.2575 Å, b = 8.2575 Å, c = 5.7479 Å, α = 90.00°, β = 90.00° and γ = 90.00°. The inequivalent atoms are Y at (0.0000, 0.0000, 0.0000), Sc at (0.1637, 0.2500, 0.6250) and Cl at (0.0000, 0.0000, 0.5000).

=====

(12)
First-principles (PBE-GGA) data for a geometry-optimized YSc2Cl structure, as listed in Alexandria via LeMat-Bulk.

Its total magnetic moment is 2.1 Bohr magnetons per cell. Its energy above the most stable polymorph in this dataset is 3.07 eV per formula unit. The calculation puts the total energy at -5.080 eV/atom. The value obtained for the raw formation energy is 0.1638 eV/atom.

It has space group F-43m (No. 216), with a = 7.4472 Å, b = 7.4472 Å, c = 7.4472 Å, α = 90.00°, β = 90.00° and γ = 90.00°. The inequivalent atoms are Y at (0.0000, 0.0000, 0.0000), Sc at (0.0000, 0.0000, 0.5000), Sc at (0.2500, 0.2500, 0.2500) and Cl at (0.2500, 0.2500, 0.7500).

=====

(13)
First-principles (PBE-GGA) data for a geometry-optimized YSc2Cl structure, as listed in Alexandria via LeMat-Bulk.

Its total magnetic moment is 4.3 Bohr magnetons per cell. Its energy above the most stable polymorph in this dataset is 2.15 eV per formula unit. The calculation puts the total energy at -5.309 eV/atom. The value obtained for the raw formation energy is -0.0653 eV/atom.

It has space group I4/mmm (No. 139), with a = 4.2061 Å, b = 4.2061 Å, c = 11.5319 Å, α = 90.00°, β = 90.00° and γ = 90.00°. The inequivalent atoms are Y at (0.0000, 0.0000, 0.0000), Sc at (0.0000, 0.5000, 0.2500) and Cl at (0.0000, 0.0000, 0.5000).

=====

(14)
First-principles (PBE-GGA) data for a geometry-optimized Y2ScCl structure, as listed in Alexandria via LeMat-Bulk.

Its total magnetic moment is 2.5 Bohr magnetons per cell. Its energy above the most stable polymorph in this dataset is 2.50 eV per formula unit. The calculation puts the total energy at -5.283 eV/atom. The value obtained for the raw formation energy is -0.0062 eV/atom.

It has space group I4/mmm (No. 139), with a = 4.7377 Å, b = 4.7377 Å, c = 9.8887 Å, α = 90.00°, β = 90.00° and γ = 90.00°. The inequivalent atoms are Y at (0.0000, 0.5000, 0.2500), Sc at (0.0000, 0.0000, 0.0000) and Cl at (0.0000, 0.0000, 0.5000).

=====

(15)
First-principles (PBE-GGA) data for a geometry-optimized Y2ScCl structure, as listed in Alexandria via LeMat-Bulk.

Its total magnetic moment is 0.0 Bohr magnetons per cell. Its energy above the most stable polymorph in this dataset is 1.25 eV per formula unit. The calculation puts the total energy at -5.595 eV/atom. The value obtained for the raw formation energy is -0.3188 eV/atom.

It has space group I-42d (No. 122), with a = 8.4292 Å, b = 8.4292 Å, c = 6.2277 Å, α = 90.00°, β = 90.00° and γ = 90.00°. The inequivalent atoms are Y at (0.1759, 0.2500, 0.1250), Sc at (0.0000, 0.0000, 0.5000) and Cl at (0.0000, 0.0000, 0.0000).